Here is a relaxed CeBeFe crystal from the Alexandria database. Energies are from PBE-GGA.

Values from the calculation:
Energy of formation from the pure elements (eV/atom): -0.121
Spin magnetization (Bohr magnetons per cell): 0.00

Unit cell a=4.211 b=4.580 c=6.229 alpha=120.00 beta=109.76 gamma=90.00
Fractional coordinates of all 6 atoms:
Ce: 0.623 0.896 0.247
Ce: 0.377 0.104 0.753
Be: 0.096 0.315 0.191
Be: 0.904 0.685 0.809
Fe: 0.685 0.525 0.371
Fe: 0.315 0.475 0.629

Here is a relaxed Ce2Be3FeGe4 crystal from the Alexandria database. Energies are from PBE-GGA.

Values from the calculation:
Energy of formation from the pure elements (eV/atom): -0.377
Spin magnetization (Bohr magnetons per cell): 0.95

Unit cell a=4.111 b=4.111 c=9.578 alpha=90.00 beta=90.00 gamma=90.00
Each line ends with the local moment (μB).
Fractional coordinates of all 10 atoms:
Ce: 0.500 0.000 0.253  -0.36
Ce: 0.000 0.500 0.747  -0.36
Be: 0.000 0.000 0.500  -0.01
Be: 0.500 0.000 0.873  0.00
Be: 0.000 0.500 0.127  0.00
Fe: 0.500 0.500 0.500  1.70
Ge: 0.500 0.500 0.000  0.01
Ge: 0.000 0.000 0.000  0.01
Ge: 0.500 0.000 0.631  0.00
Ge: 0.000 0.500 0.369  0.00